ScAlSe2 after structural relaxation. Source: Alexandria via LeMat-Bulk, functional GGA-PBE.

- Formation energy from raw total energies: -3.62 eV per formula unit
- Crystal system: trigonal
- DFT total energy: -5.166 eV/atom

abc: 9.028 9.028 9.028
angles: 24.18 24.18 24.18
Sites, in units of the cell vectors:
Sc: 0.747 0.747 0.747
Se: 0.028 0.028 0.028
Se: 0.219 0.219 0.219
Al: 0.506 0.506 0.506

***

Sr2Sb3Pd after structural relaxation. Source: Alexandria via LeMat-Bulk, functional GGA-PBE.

- Formation energy from raw total energies: -4.34 eV per formula unit
- Crystal system: orthorhombic
- DFT total energy: -4.210 eV/atom

abc: 4.528 4.759 8.662
angles: 90.00 90.00 90.00
Sites, in units of the cell vectors:
Sr: 0.000 0.000 0.497
Sr: 0.000 0.500 0.017
Sb: 0.500 0.500 0.625
Sb: 0.500 0.000 0.198
Sb: 0.500 0.000 0.840
Pd: 0.500 0.500 0.323